## Pm6HgTe3Ir2 (PBE-GGA)

Data for a relaxed Pm6HgTe3Ir2 crystal.

Space group: C2/m, No. 12
Uncorrected formation energy: -984.9 meV per atom
Volume: 358.7 Å³/cell
Calculated density: 8.5 g/cm³
Size of the total moment: 0.0 μB/f.u.

Cell lengths 4.2438, 9.1078, 9.8625 Å; angles 105.16, 102.42, 90.00 degrees
Element x y z (fractional)
Pm 0.3276 0.8740 0.6552
Pm 0.6773 0.5650 0.3546
Pm 0.6724 0.1260 0.3448
Pm 0.0197 0.2619 0.0394
Pm 0.9803 0.7381 0.9606
Pm 0.3227 0.4350 0.6454
Hg 0.5000 0.0000 0.0000
Te 0.5000 0.5000 0.0000
Te 0.8420 0.1606 0.6840
Te 0.1580 0.8394 0.3160
Ir 0.8304 0.6610 0.6607
Ir 0.1696 0.3390 0.3393